[1]
First-principles (PBE) data for crystalline GaAs2N at its relaxed geometry, as listed in Alexandria.

a b c (Å): 5.120 5.120 6.780
angles (deg): 67.82 67.82 90.00
Fractional positions:
1 Ga 0.000 0.000 0.000
2 Ga 0.750 0.250 0.500
3 N 0.500 0.500 0.000
4 N 0.250 0.750 0.500
5 As 0.191 0.625 0.250
6 As 0.875 0.809 0.750
7 As 0.559 0.125 0.250
8 As 0.375 0.441 0.750

Results
offset from the most stable computed form	0.0	kJ/mol of formula units
E_form (uncorrected)	0.518	eV/atom
theoretical density	5.2	g cm⁻³

[2]
First-principles (PBE) data for crystalline GaAsN3 at its relaxed geometry, as listed in Alexandria.

a b c (Å): 3.751 3.751 3.751
angles (deg): 90.00 90.00 90.00
Fractional positions:
1 Ga 0.500 0.500 0.500
2 As 0.000 0.000 0.000
3 N 0.000 0.000 0.500
4 N 0.500 0.000 0.000
5 N 0.000 0.500 0.000

Results
E_form (uncorrected)	1.479	eV/atom
theoretical density	5.9	g cm⁻³

[3]
First-principles (PBE) data for crystalline GaAsN2 at its relaxed geometry, as listed in Alexandria.

a b c (Å): 4.823 4.823 5.829
angles (deg): 65.56 65.56 90.00
Fractional positions:
1 N 0.875 0.841 0.750
2 N 0.591 0.125 0.250
3 N 0.375 0.409 0.750
4 N 0.159 0.625 0.250
5 As 0.000 0.000 0.000
6 As 0.750 0.250 0.500
7 Ga 0.500 0.500 0.000
8 Ga 0.250 0.750 0.500

Results
offset from the most stable computed form	0.0	kJ/mol of formula units
E_form (uncorrected)	0.428	eV/atom
theoretical density	5.2	g cm⁻³

[4]
First-principles (PBE) data for crystalline GaAs3N at its relaxed geometry, as listed in Alexandria.

a b c (Å): 4.952 4.952 4.952
angles (deg): 90.00 90.00 90.00
Site moments in Bohr magnetons follow the coordinates.
Fractional positions:
1 As 0.500 0.000 0.000  0.03
2 As 0.000 0.000 0.500  0.02
3 As 0.000 0.500 0.000  0.05
4 Ga 0.000 0.000 0.000  0.01
5 N 0.500 0.500 0.500  1.70

Results
offset from the most stable computed form	483.3	kJ/mol of formula units
E_form (uncorrected)	1.713	eV/atom
theoretical density	4.2	g cm⁻³

[5]
First-principles (PBE) data for crystalline GaAsN2 at its relaxed geometry, as listed in Alexandria.

a b c (Å): 3.962 3.962 3.962
angles (deg): 60.00 60.00 60.00
Fractional positions:
1 N 0.250 0.250 0.250
2 N 0.750 0.750 0.750
3 Ga 0.000 0.000 0.000
4 As 0.500 0.500 0.500

Results
offset from the most stable computed form	357.6	kJ/mol of formula units
E_form (uncorrected)	1.355	eV/atom
theoretical density	6.5	g cm⁻³

[6]
First-principles (PBE) data for crystalline GaAsN3 at its relaxed geometry, as listed in Alexandria.

a b c (Å): 3.896 3.896 3.896
angles (deg): 90.00 90.00 90.00
Site moments in Bohr magnetons follow the coordinates.
Fractional positions:
1 As 0.500 0.500 0.500  -0.25
2 N 0.000 0.500 0.000  0.92
3 N 0.000 0.000 0.500  0.71
4 N 0.500 0.000 0.000  0.78
5 Ga 0.000 0.000 0.000  0.04

Results
E_form (uncorrected)	1.755	eV/atom
theoretical density	5.2	g cm⁻³

[7]
First-principles (PBE) data for crystalline Ga2As2N at its relaxed geometry, as listed in Alexandria.

a b c (Å): 5.507 5.507 5.109
angles (deg): 57.39 57.39 90.00
Fractional positions:
1 Ga 0.750 0.250 0.500
2 Ga 0.250 0.750 0.500
3 As 0.270 0.270 0.461
4 As 0.730 0.730 0.539
5 N 0.000 0.000 0.000

Results
offset from the most stable computed form	0.0	kJ/mol of formula units
E_form (uncorrected)	0.485	eV/atom
theoretical density	5.0	g cm⁻³

[8]
First-principles (PBE) data for crystalline GaAsNO2 at its relaxed geometry, as listed in Alexandria.

a b c (Å): 3.808 3.808 3.913
angles (deg): 90.00 90.00 90.00
Fractional positions:
1 As 0.500 0.500 0.500
2 O 0.000 0.500 0.000
3 O 0.500 0.000 0.000
4 N 0.000 0.000 0.500
5 Ga 0.000 0.000 0.000

Results
E_form (uncorrected)	0.169	eV/atom
theoretical density	5.6	g cm⁻³

[9]
First-principles (PBE) data for crystalline GaAsNO2 at its relaxed geometry, as listed in Alexandria.

a b c (Å): 3.674 3.674 4.008
angles (deg): 90.00 90.00 90.00
Fractional positions:
1 Ga 0.500 0.500 0.500
2 N 0.000 0.000 0.500
3 O 0.000 0.500 0.000
4 O 0.500 0.000 0.000
5 As 0.000 0.000 0.000

Results
E_form (uncorrected)	-0.042	eV/atom
theoretical density	5.8	g cm⁻³

[10]
First-principles (PBE) data for crystalline Pa2GaAs2N2 at its relaxed geometry, as listed in Alexandria.

a b c (Å): 3.819 5.917 6.721
angles (deg): 65.41 73.49 71.17
Fractional positions:
1 Pa 0.818 0.616 0.748
2 Pa 0.182 0.384 0.252
3 N 0.783 0.332 0.103
4 N 0.217 0.668 0.897
5 As 0.560 0.201 0.679
6 As 0.440 0.799 0.321
7 Ga 0.000 0.000 0.000

Results
E_form (uncorrected)	-1.007	eV/atom
theoretical density	9.2	g cm⁻³

[11]
First-principles (PBE) data for crystalline GaAsPb2N at its relaxed geometry, as listed in Alexandria.

a b c (Å): 5.663 4.755 5.663
angles (deg): 90.00 90.00 90.00
Fractional positions:
1 Ga 0.000 0.500 0.000
2 Pb 0.000 0.000 0.500
3 Pb 0.500 0.000 0.000
4 N 0.500 0.500 0.500
5 As 0.000 0.000 0.000

Results
offset from the most stable computed form	428.9	kJ/mol of formula units
E_form (uncorrected)	1.386	eV/atom
theoretical density	6.2	g cm⁻³

[12]
First-principles (PBE) data for crystalline GaAsPb2N at its relaxed geometry, as listed in Alexandria.

a b c (Å): 5.312 4.048 5.312
angles (deg): 90.00 90.00 90.00
Fractional positions:
1 Ga 0.500 0.500 0.500
2 As 0.000 0.500 0.000
3 N 0.000 0.000 0.000
4 Pb 0.500 0.000 0.000
5 Pb 0.000 0.000 0.500

Results
offset from the most stable computed form	0.0	kJ/mol of formula units
E_form (uncorrected)	0.497	eV/atom
theoretical density	8.3	g cm⁻³

Repeat the eleventh record exactly.
First-principles (PBE) data for crystalline GaAsPb2N at its relaxed geometry, as listed in Alexandria.

a b c (Å): 5.663 4.755 5.663
angles (deg): 90.00 90.00 90.00
Fractional positions:
1 Ga 0.000 0.500 0.000
2 Pb 0.000 0.000 0.500
3 Pb 0.500 0.000 0.000
4 N 0.500 0.500 0.500
5 As 0.000 0.000 0.000

Results
offset from the most stable computed form	428.9	kJ/mol of formula units
E_form (uncorrected)	1.386	eV/atom
theoretical density	6.2	g cm⁻³

- Look up the E_form (uncorrected) of the seventh one.
  0.485 eV/atom